{"formula": "Nd2SmHoEr6", "functional": "GGA-PBE", "state": "optimized geometry", "crystal_system": "monoclinic", "dft_energy_ev_per_atom": -4.5033, "e_form_kj_per_mol_fu": 114, "cell": [[-8.3352, 0.0801, 4.8929], [-3.6517, -2.4095, -7.5632], [3.6592, -6.1983, 4.9532]], "species": ["Er", "Er", "Er", "Er", "Er", "Er", "Er", "Er", "Er", "Er", "Er", "Er", "Ho", "Ho", "Nd", "Nd", "Nd", "Nd", "Sm", "Sm"], "fractional_positions": [[0.6862, 0.0216, 0.5737], [0.0576, 0.1237, 0.7409], [0.1862, 0.5737, 0.0216], [0.1188, 0.7058, 0.4932], [0.8138, 0.4263, 0.9784], [0.4424, 0.2591, 0.8763], [0.9424, 0.8763, 0.2591], [0.8812, 0.2942, 0.5068], [0.6188, 0.4932, 0.7058], [0.3812, 0.5068, 0.2942], [0.5576, 0.7409, 0.1237], [0.3138, 0.9784, 0.4263], [0.7500, 0.5930, 0.4070], [0.2500, 0.4070, 0.5930], [0.0430, 0.2964, 0.1938], [0.9570, 0.7036, 0.8062], [0.4570, 0.8062, 0.7036], [0.5430, 0.1938, 0.2964], [0.2500, 0.9820, 0.0180], [0.7500, 0.0180, 0.9820]]}